No. 1
MgMn2BiRh | PBE | optimized geometry

## Properties
Energy relative to the elements, meV per atom: 1027
Space group: P4/mmm

Unit cell a=5.0658 b=5.0679 c=5.0658 alpha=90.00 beta=90.00 gamma=90.00
With the nearest neighbours (Å) after each atom.
Element x y z (fractional)
Mn1 0.0000 0.0000 0.5000  2 Bi 2.53
Mn2 0.5000 0.0000 0.0000  2 Bi 2.53
Rh1 0.0000 0.5000 0.0000  2 Bi 2.53
Mg1 0.5000 0.5000 0.5000  4 Rh 3.58, 8 Mn 3.58
Bi1 0.0000 0.0000 0.0000  4 Mn 2.53, 2 Rh 2.53


No. 2
MgMnBiRu2 | PBE | optimized geometry

## Properties
Energy relative to the elements, meV per atom: 2161
Space group: P4/mmm

Unit cell a=4.9533 b=5.0720 c=4.9533 alpha=90.00 beta=90.00 gamma=90.00
With the nearest neighbours (Å) after each atom.
Element x y z (fractional)
Ru1 0.5000 0.0000 0.0000  2 Bi 2.48
Ru2 0.0000 0.0000 0.5000  2 Bi 2.48
Mg1 0.0000 0.5000 0.0000  2 Bi 2.54
Mn1 0.5000 0.5000 0.5000  4 Mg 3.50, 8 Ru 3.54
Bi1 0.0000 0.0000 0.0000  4 Ru 2.48, 2 Mg 2.54


No. 3
MgMnBiTe2 | PBE | optimized geometry

## Properties
Energy, eV per atom: -3.45
Space group: P4/mmm

Unit cell a=6.0683 b=5.3284 c=6.0683 alpha=90.00 beta=90.00 gamma=90.00
With the nearest neighbours (Å) after each atom.
Element x y z (fractional)
Te1 0.0000 0.0000 0.5000  2 Bi 3.03
Te2 0.5000 0.0000 0.0000  2 Bi 3.03
Mg1 0.0000 0.5000 0.0000  2 Bi 2.66
Bi1 0.0000 0.0000 0.0000  2 Mg 2.66
Mn1 0.5000 0.5000 0.5000  8 Te 4.04, 4 Mg 4.29


No. 4
MgBiMo3 | PBE | optimized geometry

## Properties
Energy relative to the elements, meV per atom: 1929
Excess energy over the best structure of this formula in the dataset, eV per formula unit: 0.00
Space group: Pm-3m

Unit cell a=4.7256 b=4.7256 c=4.7256 alpha=90.00 beta=90.00 gamma=90.00
With the nearest neighbours (Å) after each atom.
Element x y z (fractional)
Bi1 0.5000 0.5000 0.5000  12 Mo 3.34
Mo1 0.0000 0.0000 0.5000  2 Mg 2.36
Mo2 0.0000 0.5000 0.0000  2 Mg 2.36
Mo3 0.5000 0.0000 0.0000  2 Mg 2.36
Mg1 0.0000 0.0000 0.0000  6 Mo 2.36


No. 5
Mg2BiMo | PBE | optimized geometry

## Properties
Energy relative to the elements, meV per atom: 710
Space group: I-42d

Unit cell a=8.1526 b=8.1526 c=6.4063 alpha=50.48 beta=50.48 gamma=90.00
With the nearest neighbours (Å) after each atom.
Element x y z (fractional)
Mg1 0.5976 0.1250 0.2500  2 Mo 2.82, 2 Mg 2.83, 2 Bi 3.12
Mg2 0.1524 0.6250 0.2500  2 Mo 2.82, 2 Mg 2.83, 2 Bi 3.12
Mg3 0.3750 0.4024 0.7500  2 Mo 2.82, 2 Mg 2.83, 2 Bi 3.12
Mg4 0.8750 0.8476 0.7500  2 Mo 2.82, 2 Mg 2.83, 2 Bi 3.12
Bi1 0.7500 0.2500 0.5000  2 Mo 2.79, 4 Mg 3.12
Bi2 0.0000 0.0000 0.0000  2 Mo 2.79, 4 Mg 3.12
Mo1 0.2500 0.7500 0.5000  2 Bi 2.79, 4 Mg 2.82
Mo2 0.5000 0.5000 0.0000  2 Bi 2.79, 4 Mg 2.82


No. 6
MgBi2MoP | PBE | optimized geometry

## Properties
Energy relative to the elements, meV per atom: 1491
Excess energy over the best structure of this formula in the dataset, eV per formula unit: 2.99
Space group: P4/mmm

Unit cell a=5.3180 b=5.0416 c=5.3180 alpha=90.00 beta=90.00 gamma=90.00
With the nearest neighbours (Å) after each atom.
Element x y z (fractional)
P1 0.5000 0.5000 0.5000  8 Bi 3.66, 4 Mo 3.76
Mo1 0.0000 0.5000 0.0000  2 Mg 2.52
Mg1 0.0000 0.0000 0.0000  2 Mo 2.52, 4 Bi 2.66
Bi1 0.0000 0.0000 0.5000  2 Mg 2.66
Bi2 0.5000 0.0000 0.0000  2 Mg 2.66


no.,Fermi-level density of states (states/eV/cell)
1,3.945
2,6.537
3,2.411
4,5.561
5,6.565
6,4.258